# 1
First-principles (PBE-GGA) data for crystalline Ba2La4H at its relaxed geometry, as listed in Alexandria.

Lattice parameters (Å, degrees): 5.2998 5.2998 10.4266 75.28 75.28 90.00
Sites, in units of the cell vectors:
La  0.8699  0.8699  0.2602
Ba  0.3338  0.3338  0.3323
H  0.0000  0.0000  0.0000
La  0.1301  0.1301  0.7398
La  0.5000  0.0000  0.0000
La  0.0000  0.5000  0.0000
Ba  0.6662  0.6662  0.6677

=====

# 2
First-principles (PBE-GGA) data for crystalline BaLa2H2 at its relaxed geometry, as listed in Alexandria.

Lattice parameters (Å, degrees): 4.5360 4.5360 7.5403 72.50 72.50 90.00
Sites, in units of the cell vectors:
Ba  0.0000  0.0000  0.0000
H  0.7500  0.2500  0.5000
La  0.6886  0.6886  0.6228
H  0.2500  0.7500  0.5000
La  0.3114  0.3114  0.3772

=====

# 3
First-principles (PBE-GGA) data for crystalline Ba3LaH at its relaxed geometry, as listed in Alexandria.

Calculated values
* distance to the lowest polymorph of the same formula: 0.0 kJ per mole of atoms

Lattice parameters (Å, degrees): 5.8665 5.8665 5.8665 90.00 90.00 90.00
Sites, in units of the cell vectors:
Ba  0.0000  0.5000  0.0000
Ba  0.0000  0.0000  0.5000
La  0.5000  0.5000  0.5000
H  0.0000  0.0000  0.0000
Ba  0.5000  0.0000  0.0000

=====

# 4
First-principles (PBE-GGA) data for crystalline Ba3LaH at its relaxed geometry, as listed in Alexandria.

Calculated values
* distance to the lowest polymorph of the same formula: 84.8 kJ per mole of atoms

Lattice parameters (Å, degrees): 6.5486 6.5486 6.5486 90.00 90.00 90.00
Site moments in Bohr magnetons follow the coordinates.
Sites, in units of the cell vectors:
Ba  0.5000  0.0000  0.0000  0.01
La  0.0000  0.0000  0.0000  0.22
Ba  0.0000  0.5000  0.0000  0.06
Ba  0.0000  0.0000  0.5000  0.08
H  0.5000  0.5000  0.5000  -0.01

=====

# 5
First-principles (PBE-GGA) data for crystalline BaLaH2 at its relaxed geometry, as listed in Alexandria.

Calculated values
* distance to the lowest polymorph of the same formula: 0.0 kJ per mole of atoms

Lattice parameters (Å, degrees): 4.0515 4.0515 7.2082 73.68 73.68 60.00
Site moments in Bohr magnetons follow the coordinates.
Sites, in units of the cell vectors:
H  0.3333  0.3333  0.0001  0.00
Ba  0.4699  0.4699  0.5904  0.15
La  0.6538  0.6538  0.0386  0.18
H  0.0430  0.0430  0.8709  0.00

=====

# 6
First-principles (PBE-GGA) data for crystalline Ba5La3H12 at its relaxed geometry, as listed in Alexandria.

Lattice parameters (Å, degrees): 12.7971 12.7971 12.7971 109.47 109.47 109.47
Sites, in units of the cell vectors:
H  0.4201  0.7615  0.8374
H  0.9173  0.0759  0.8374
La  0.6250  0.3750  0.7500
Ba  0.0000  0.5000  0.0000
H  0.6626  0.0799  0.2385
H  0.0759  0.1586  0.2385
Ba  0.8750  0.2500  0.6250
Ba  0.2500  0.8750  0.1250
La  0.1250  0.8750  0.7500
La  0.7500  0.3750  0.1250
H  0.0827  0.1586  0.4201
Ba  0.5000  0.5000  0.0000
H  0.7385  0.5759  0.1586
Ba  0.3750  0.2500  0.1250
Ba  0.7500  0.1250  0.8750
H  0.6586  0.2385  0.5759
H  0.9241  0.0827  0.6626
H  0.2385  0.5799  0.6626
H  0.1586  0.0759  0.7385
H  0.8414  0.9241  0.2615
La  0.2500  0.1250  0.3750
H  0.7385  0.1626  0.0799
Ba  0.0000  0.0000  0.5000
H  0.4241  0.2615  0.3414
H  0.7615  0.3414  0.9241
H  0.9201  0.3374  0.2615
H  0.6626  0.5827  0.9241
Ba  0.1250  0.7500  0.3750
H  0.9241  0.8414  0.7615
H  0.6586  0.4201  0.5827
La  0.7500  0.8750  0.6250
Ba  0.7500  0.6250  0.3750
H  0.2385  0.6586  0.0759
Ba  0.5000  0.0000  0.0000
H  0.3414  0.7615  0.4241
H  0.4241  0.1626  0.5827
Ba  0.6250  0.7500  0.8750
H  0.0799  0.4173  0.8414
H  0.0827  0.9241  0.1626
La  0.6250  0.2500  0.3750
H  0.8374  0.2615  0.4201
H  0.8374  0.5759  0.9173
H  0.1586  0.0827  0.9201
H  0.3374  0.4173  0.0759
H  0.5799  0.2385  0.1626
H  0.1626  0.7385  0.5799
Ba  0.6250  0.8750  0.2500
La  0.3750  0.7500  0.6250
Ba  0.5000  0.0000  0.5000
H  0.5827  0.9201  0.6586
H  0.3414  0.5799  0.4173
H  0.7615  0.4201  0.3374
Ba  0.5000  0.5000  0.5000
H  0.2615  0.8374  0.9201
H  0.1626  0.4241  0.0827
Ba  0.3750  0.1250  0.7500
H  0.4201  0.6586  0.0827
H  0.5759  0.8374  0.4173
La  0.8750  0.1250  0.2500
H  0.2615  0.4241  0.8414
H  0.3374  0.9201  0.7615
H  0.4173  0.0799  0.3414
H  0.5827  0.6626  0.4241
Ba  0.1250  0.3750  0.2500
H  0.8414  0.9173  0.0799
Ba  0.0000  0.5000  0.5000
H  0.5799  0.3414  0.9173
La  0.8750  0.7500  0.1250
H  0.5759  0.7385  0.6586
Ba  0.0000  0.0000  0.0000
La  0.3750  0.6250  0.2500
H  0.9201  0.5827  0.1586
H  0.0759  0.9173  0.3374
H  0.9173  0.8414  0.5799
La  0.2500  0.6250  0.8750
Ba  0.8750  0.6250  0.7500
Ba  0.2500  0.3750  0.6250
H  0.4173  0.3374  0.5759
H  0.0799  0.6626  0.7385
La  0.1250  0.2500  0.8750

=====

# 7
First-principles (PBE-GGA) data for crystalline Ba2LaMg3H12 at its relaxed geometry, as listed in Alexandria.

Lattice parameters (Å, degrees): 6.8406 6.8406 6.8406 61.80 61.80 61.80
Sites, in units of the cell vectors:
H  0.8717  0.2594  0.2594
H  0.1363  0.5745  0.1363
H  0.2594  0.2594  0.8717
H  0.4255  0.8637  0.8637
H  0.8637  0.8637  0.4255
H  0.1283  0.7406  0.7406
Ba  0.3861  0.3861  0.3861
H  0.7406  0.1283  0.7406
H  0.2594  0.8717  0.2594
Ba  0.6139  0.6139  0.6139
Mg  0.5000  0.0000  0.0000
H  0.7406  0.7406  0.1283
Mg  0.0000  0.0000  0.5000
H  0.1363  0.1363  0.5745
H  0.5745  0.1363  0.1363
La  0.0000  0.0000  0.0000
Mg  0.0000  0.5000  0.0000
H  0.8637  0.4255  0.8637

=====

# 8
First-principles (PBE-GGA) data for crystalline BaLaNi2H6 at its relaxed geometry, as listed in Alexandria.

Lattice parameters (Å, degrees): 6.5995 6.5995 6.7541 107.12 107.12 87.18
Sites, in units of the cell vectors:
H  0.2648  0.2613  0.0265
H  0.7352  0.7387  0.9735
H  0.4617  0.6548  0.1267
Ni  0.6587  0.8113  0.2161
H  0.7763  0.0353  0.3240
H  0.0353  0.7763  0.8240
H  0.3452  0.5383  0.3733
H  0.5383  0.3452  0.8733
Ba  0.8607  0.1393  0.7500
La  0.3684  0.6316  0.7500
La  0.6316  0.3684  0.2500
H  0.6548  0.4617  0.6267
H  0.2237  0.9647  0.6760
Ni  0.3413  0.1887  0.7839
Ba  0.1393  0.8607  0.2500
H  0.9647  0.2237  0.1760
H  0.7387  0.7352  0.4735
Ni  0.1887  0.3413  0.2839
H  0.2613  0.2648  0.5265
Ni  0.8113  0.6587  0.7161

=====

# 9
First-principles (PBE-GGA) data for crystalline BaLaHO2 at its relaxed geometry, as listed in Alexandria.

Lattice parameters (Å, degrees): 4.6806 4.6806 4.5046 90.00 90.00 90.00
Sites, in units of the cell vectors:
O  0.5000  0.0000  0.0000
La  0.0000  0.0000  0.0000
H  0.0000  0.0000  0.5000
O  0.0000  0.5000  0.0000
Ba  0.5000  0.5000  0.5000

=====

# 10
First-principles (PBE-GGA) data for crystalline BaLa2HPb at its relaxed geometry, as listed in Alexandria.

Lattice parameters (Å, degrees): 5.2471 5.2471 5.3203 90.00 90.00 90.00
Site moments in Bohr magnetons follow the coordinates.
Sites, in units of the cell vectors:
La  0.0000  0.5000  0.0000  0.32
H  0.0000  0.0000  0.0000  -0.01
La  0.5000  0.0000  0.0000  0.32
Ba  0.0000  0.0000  0.5000  0.17
Pb  0.5000  0.5000  0.5000  -0.02

=====

# 11
First-principles (PBE-GGA) data for crystalline Ba2LaHPb at its relaxed geometry, as listed in Alexandria.

Lattice parameters (Å, degrees): 5.4041 5.4041 5.5112 90.00 90.00 90.00
Site moments in Bohr magnetons follow the coordinates.
Sites, in units of the cell vectors:
Ba  0.5000  0.0000  0.0000  0.14
La  0.0000  0.0000  0.5000  0.41
Pb  0.5000  0.5000  0.5000  -0.03
Ba  0.0000  0.5000  0.0000  0.14
H  0.0000  0.0000  0.0000  -0.01

=====

no.,total energy (Ha/atom)
1,-0.137
2,-0.143
3,-0.103
4,-0.071
5,-0.135
6,-0.130
7,-0.122
8,-0.153
9,-0.227
10,-0.150
11,-0.127